Entry 1:
Entry from Alexandria via LeMat-Bulk: crystalline Y2PtRh at its relaxed geometry (PBE-GGA).

Cell: 4.0510 4.0510 19.7392 Å, 90.00 90.00 120.00°
Space group R-3m (No. 166, hexagonal axes)
Inequivalent atoms, fractional coordinates:
Y 0.0000 0.0000 0.2474 x6
Pt 0.0000 0.0000 0.0000 x3
Rh 0.0000 0.0000 0.5000 x3

DFT formation energy = -0.809 eV per atom

---

Entry 2:
Entry from Alexandria via LeMat-Bulk: crystalline Y4PtRh at its relaxed geometry (PBE-GGA).

Cell: 8.3455 8.3455 8.3455 Å, 90.00 90.00 90.00°
Space group F-43m (No. 216)
Inequivalent atoms, fractional coordinates:
Y 0.1250 0.1250 0.1250 x16
Pt 0.2500 0.2500 0.7500 x4
Rh 0.0000 0.0000 0.5000 x4

Polymorph energy (0 for the lowest one) = 1188 meV per atom
DFT formation energy = 0.482 eV per atom

---

Entry 3:
Entry from Alexandria via LeMat-Bulk: crystalline YPtRh2 at its relaxed geometry (PBE-GGA).

Cell: 6.5226 6.5226 6.5226 Å, 90.00 90.00 90.00°
Space group Fm-3m (No. 225)
Inequivalent atoms, fractional coordinates:
Y 0.0000 0.0000 0.0000 x4
Pt 0.0000 0.0000 0.5000 x4
Rh 0.2500 0.2500 0.2500 x8

DFT formation energy = -0.411 eV per atom

---

Entry 4:
Entry from Alexandria via LeMat-Bulk: crystalline Y4Pt3Rh at its relaxed geometry (PBE-GGA).

Cell: 3.7886 4.4336 10.5831 Å, 90.00 90.00 90.00°
Space group Pmm2 (No. 25)
Inequivalent atoms, fractional coordinates:
Y 0.0000 0.0000 0.0000 x1
Y 0.0000 0.5000 0.2754 x1
Y 0.5000 0.0000 0.4934 x1
Y 0.5000 0.5000 0.7760 x1
Pt 0.0000 0.0000 0.7233 x1
Pt 0.0000 0.5000 0.5509 x1
Pt 0.5000 0.5000 0.0522 x1
Rh 0.5000 0.0000 0.2246 x1

DFT formation energy = -1.146 eV per atom

---

Entry 5:
Entry from Alexandria via LeMat-Bulk: crystalline Y2PtRh at its relaxed geometry (PBE-GGA).

Cell: 5.6557 4.3556 7.5736 Å, 90.00 109.60 90.00°
Space group P2_1/m (No. 11)
Inequivalent atoms, fractional coordinates:
Y 0.2180 0.2500 0.4310 x2
Y 0.2196 0.2500 0.9282 x2
Pt 0.3306 0.7500 0.2070 x2
Rh 0.3238 0.7500 0.7069 x2

DFT formation energy = -1.031 eV per atom

---

Entry 6:
Entry from Alexandria via LeMat-Bulk: crystalline Y2Pt5Rh at its relaxed geometry (PBE-GGA).

Cell: 5.8265 11.6570 4.1007 Å, 90.00 90.00 90.00°
Space group Pbam (No. 55)
Inequivalent atoms, fractional coordinates:
Y 0.2454 0.1237 0.0000 x4
Pt 0.0000 0.5000 0.5000 x2
Pt 0.0036 0.7505 0.5000 x4
Pt 0.2484 0.3758 0.0000 x4
Rh 0.0000 0.0000 0.5000 x2

DFT formation energy = -0.916 eV per atom

---

Entry 7:
Entry from Alexandria via LeMat-Bulk: crystalline Y5PtRh4 at its relaxed geometry (PBE-GGA).

Cell: 3.4239 3.4239 17.5207 Å, 90.00 90.00 90.00°
Space group P4/mmm (No. 123)
Inequivalent atoms, fractional coordinates:
Y 0.0000 0.0000 0.0000 x1
Y 0.0000 0.0000 0.1990 x2
Y 0.0000 0.0000 0.3975 x2
Pt 0.5000 0.5000 0.5000 x1
Rh 0.5000 0.5000 0.0996 x2
Rh 0.5000 0.5000 0.2987 x2

DFT formation energy = -0.914 eV per atom

---

Entry 8:
Entry from Alexandria via LeMat-Bulk: crystalline YPt2Rh2 at its relaxed geometry (PBE-GGA).

Cell: 3.8285 3.8285 12.5842 Å, 90.00 90.00 90.00°
Space group I4/mmm (No. 139)
Inequivalent atoms, fractional coordinates:
Y 0.0000 0.0000 0.0000 x2
Pt 0.0000 0.0000 0.3985 x4
Rh 0.0000 0.5000 0.2500 x4

Polymorph energy (0 for the lowest one) = 0 meV per atom
DFT formation energy = -0.434 eV per atom

---

Entry 9:
Entry from Alexandria via LeMat-Bulk: crystalline YPt2Rh2 at its relaxed geometry (PBE-GGA).

Cell: 7.2144 7.2144 3.3574 Å, 90.00 90.00 90.00°
Space group P4/mbm (No. 127)
Inequivalent atoms, fractional coordinates:
Y 0.0000 0.0000 0.0000 x2
Pt 0.1708 0.3292 0.5000 x4
Rh 0.1274 0.6274 0.0000 x4

Polymorph energy (0 for the lowest one) = 23 meV per atom
DFT formation energy = -0.411 eV per atom

---

Entry 10:
Entry from Alexandria via LeMat-Bulk: crystalline YPtRh2 at its relaxed geometry (PBE-GGA).

Cell: 3.0302 3.8923 5.8960 Å, 90.00 90.00 90.00°
Space group Pmm2 (No. 25)
Inequivalent atoms, fractional coordinates:
Y 0.0000 0.0000 0.0000 x1
Pt 0.5000 0.5000 0.2686 x1
Rh 0.0000 0.0000 0.5170 x1
Rh 0.5000 0.5000 0.7163 x1

DFT formation energy = -0.436 eV per atom

---

Entry 11:
Entry from Alexandria via LeMat-Bulk: crystalline Y5PtRh2 at its relaxed geometry (PBE-GGA).

Cell: 7.4314 7.4314 13.9175 Å, 90.00 90.00 90.00°
Space group I4/mcm (No. 140)
Inequivalent atoms, fractional coordinates:
Y 0.0000 0.0000 0.0000 x4
Y 0.1701 0.3299 0.1426 x16
Pt 0.0000 0.0000 0.2500 x4
Rh 0.1320 0.3680 0.5000 x8

DFT formation energy = -0.799 eV per atom

---

Entry 12:
Entry from Alexandria via LeMat-Bulk: crystalline YPtRh2 at its relaxed geometry (PBE-GGA).

Cell: 6.5482 6.5482 6.5482 Å, 90.00 90.00 90.00°
Space group F-43m (No. 216)
Inequivalent atoms, fractional coordinates:
Y 0.0000 0.0000 0.0000 x4
Pt 0.2500 0.2500 0.7500 x4
Rh 0.0000 0.0000 0.5000 x4
Rh 0.2500 0.2500 0.2500 x4

DFT formation energy = -0.403 eV per atom